# SbPdPb2, optimized geometry, DFT GGA-PBE
# Final energy = -3.953 eV/atom
data_SbPdPb2
_chemical_formula_sum 'Sb1 Pd1 Pb2'
_cell_length_a 3.297
_cell_length_b 3.297
_cell_length_c 11.671
_cell_angle_alpha 81.88
_cell_angle_beta 81.88
_cell_angle_gamma 60.00
_space_group_name_H-M_alt 'P 1'
_space_group_IT_number 1
loop_
_space_group_symop_operation_xyz
'x,y,z'
loop_
_atom_site_label
_atom_site_type_symbol
_atom_site_fract_x
_atom_site_fract_y
_atom_site_fract_z
Pb1 Pb 0.079 0.079 0.763
Pb2 Pb 0.921 0.921 0.237
Sb1 Sb 0.500 0.500 0.500
Pd1 Pd 0.000 0.000 0.000

***

# DyHg5, optimized geometry, DFT GGA-PBE
# DFT formation energy = -213 meV per atom
data_DyHg5
_chemical_formula_sum 'Dy1 Hg5'
_cell_length_a 4.846
_cell_length_b 4.455
_cell_length_c 7.169
_cell_angle_alpha 108.10
_cell_angle_beta 90.00
_cell_angle_gamma 90.00
_space_group_name_H-M_alt 'P 1'
_space_group_IT_number 1
loop_
_space_group_symop_operation_xyz
'x,y,z'
loop_
_atom_site_label
_atom_site_type_symbol
_atom_site_fract_x
_atom_site_fract_y
_atom_site_fract_z
Hg1 Hg 0.500 0.837 0.674
Hg2 Hg 0.000 0.668 0.336
Hg3 Hg 0.500 0.500 0.000
Hg4 Hg 0.000 0.332 0.664
Hg5 Hg 0.500 0.163 0.326
Dy1 Dy 0.000 0.000 0.000

***

# TlCoHRh2, optimized geometry, DFT GGA-PBE
# Final energy = -5.376 eV/atom
data_TlCoHRh2
_chemical_formula_sum 'Tl1 Co1 H1 Rh2'
_cell_length_a 4.071
_cell_length_b 4.071
_cell_length_c 3.842
_cell_angle_alpha 90.00
_cell_angle_beta 90.00
_cell_angle_gamma 90.00
_space_group_name_H-M_alt 'P 1'
_space_group_IT_number 1
loop_
_space_group_symop_operation_xyz
'x,y,z'
loop_
_atom_site_label
_atom_site_type_symbol
_atom_site_fract_x
_atom_site_fract_y
_atom_site_fract_z
Co1 Co 0.000 0.000 0.500
Tl1 Tl 0.500 0.500 0.500
Rh1 Rh 0.000 0.500 0.000
Rh2 Rh 0.500 0.000 0.000
H1 H 0.000 0.000 0.000